Entry from Alexandria: HfFe2GeO6 after structural relaxation (PBE+U).

Cell lengths 5.240, 5.267, 5.560 Å; angles 61.51, 61.54, 59.96 degrees
Sites, in units of the cell vectors:
O (0.114, 0.441, 0.763)
O (0.576, 0.203, 0.254)
Fe (0.537, 0.521, 0.413)
O (0.955, 0.579, 0.255)
Fe (0.025, 0.023, 0.929)
O (0.688, 0.103, 0.775)
Ge (0.315, 0.319, 0.048)
O (0.437, 0.686, 0.777)
O (0.200, 0.965, 0.247)
Hf (0.813, 0.820, 0.554)

Values from the calculation:
Space group: P1, No. 1
Energy in eV per atom: -7.634